No. 1
DFT (PBE-GGA) results for an optimized crystal structure of Cr4CdCoS8. Values from VASP.

Geometry as Quantum ESPRESSO input:
```
&SYSTEM
  ibrav = 0, nat = 14, ntyp = 4
/
ATOMIC_SPECIES
Cr 52.00 Cr.upf
Cd 112.41 Cd.upf
Co 58.93 Co.upf
S 32.06 S.upf
CELL_PARAMETERS angstrom
-1.681 6.918 -0.760
-6.216 2.474 2.549
-0.063 4.317 5.711
ATOMIC_POSITIONS crystal
Cr 0.623 0.126 0.126
Cr 0.126 0.623 0.126
Cr 0.126 0.126 0.623
Cr 0.126 0.126 0.126
Cd 0.750 0.750 0.750
Co 0.500 0.500 0.500
S 0.327 0.891 0.891
S 0.891 0.327 0.891
S 0.891 0.891 0.327
S 0.891 0.891 0.891
S 0.898 0.367 0.367
S 0.367 0.898 0.367
S 0.367 0.367 0.898
S 0.367 0.367 0.367
```

Properties
**Total magnetization**: 14.627 μB/cell
**D(E_F)**: 0.49 states/eV per atom
**Raw formation energy**: -0.598 eV per atom
**Calculated total energy**: -6.28 eV/atom
**Space group**: F-43m, No. 216

No. 2
DFT (PBE-GGA) results for an optimized crystal structure of SrIn. Values from VASP.

Geometry as Quantum ESPRESSO input:
```
&SYSTEM
  ibrav = 0, nat = 12, ntyp = 2
/
ATOMIC_SPECIES
Sr 87.62 Sr.upf
In 114.82 In.upf
CELL_PARAMETERS angstrom
9.722 0.000 0.000
-4.861 8.420 0.000
0.000 0.000 5.556
ATOMIC_POSITIONS crystal
Sr 0.819 0.637 0.250
Sr 0.181 0.819 0.750
Sr 0.363 0.181 0.250
Sr 0.181 0.363 0.750
Sr 0.819 0.181 0.250
Sr 0.637 0.819 0.750
In 0.437 0.873 0.250
In 0.563 0.437 0.750
In 0.127 0.563 0.250
In 0.563 0.127 0.750
In 0.437 0.563 0.250
In 0.873 0.437 0.750
```

Properties
**Total magnetization**: 0.000 μB/cell
**D(E_F)**: 0.78 states/eV per atom
**Calculated total energy**: -2.52 eV/atom
**E_form**: -0.62 eV per formula unit
**Space group**: P6_3/mmc, No. 194

No. 3
DFT (PBE-GGA) results for an optimized crystal structure of Li2TlHgO4. Values from VASP.

Geometry as Quantum ESPRESSO input:
```
&SYSTEM
  ibrav = 0, nat = 8, ntyp = 4
/
ATOMIC_SPECIES
Li 6.94 Li.upf
Tl 204.38 Tl.upf
Hg 200.59 Hg.upf
O 16.00 O.upf
CELL_PARAMETERS angstrom
-2.448 1.867 -1.225
2.080 -0.815 -5.401
-3.672 -3.900 1.396
ATOMIC_POSITIONS crystal
Li 0.500 0.000 0.500
Li 0.000 0.500 0.500
Tl 0.500 0.500 0.000
Hg 0.000 0.000 0.000
O 0.500 0.220 0.248
O 0.500 0.780 0.752
O 0.000 0.288 0.730
O 0.000 0.712 0.270
```

Properties
**Total magnetization**: 0.849 μB/cell
**D(E_F)**: 0.29 states/eV per atom
**Raw formation energy**: -0.874 eV per atom
**Calculated total energy**: -4.16 eV/atom
**Space group**: P2/m, No. 10

No. 4
DFT (PBE-GGA) results for an optimized crystal structure of LiTc2Sb. Values from VASP.

Geometry as Quantum ESPRESSO input:
```
&SYSTEM
  ibrav = 0, nat = 4, ntyp = 3
/
ATOMIC_SPECIES
Li 6.94 Li.upf
Sb 121.76 Sb.upf
Tc 98.00 Tc.upf
CELL_PARAMETERS angstrom
-3.005 3.077 -7.583
-3.336 0.114 -8.053
-5.472 1.656 -6.581
ATOMIC_POSITIONS crystal
Li 0.250 0.250 0.250
Sb 0.750 0.750 0.750
Tc 0.003 0.003 0.003
Tc 0.497 0.497 0.497
```

Properties
**Total magnetization**: 0.000 μB/cell
**D(E_F)**: 0.86 states/eV per atom
**Raw formation energy**: 0.529 eV per atom
**Calculated total energy**: -6.16 eV/atom
**Space group**: R-3m, No. 166

No. 5
DFT (PBE-GGA) results for an optimized crystal structure of Na2PuBiTe4. Values from VASP.

Geometry as Quantum ESPRESSO input:
```
&SYSTEM
  ibrav = 0, nat = 8, ntyp = 4
/
ATOMIC_SPECIES
Na 22.99 Na.upf
Pu 244.00 Pu.upf
Bi 208.98 Bi.upf
Te 127.60 Te.upf
CELL_PARAMETERS angstrom
-0.859 -4.428 -0.301
5.862 -1.474 4.963
-6.771 1.032 4.138
ATOMIC_POSITIONS crystal
Na 0.500 0.000 0.500
Na 0.000 0.500 0.500
Pu 0.500 0.500 0.000
Bi 0.000 0.000 0.000
Te 0.500 0.247 0.238
Te 0.500 0.753 0.762
Te 0.000 0.258 0.766
Te 0.000 0.742 0.234
```

Properties
**Total magnetization**: 5.000 μB/cell
**D(E_F)**: 1.67 states/eV per atom
**Raw formation energy**: -0.773 eV per atom
**Calculated total energy**: -4.95 eV/atom
**Space group**: P2/m, No. 10

No. 6
DFT (PBE-GGA) results for an optimized crystal structure of Cs2NpCu2Se4. Values from VASP.

Geometry as Quantum ESPRESSO input:
```
&SYSTEM
  ibrav = 0, nat = 9, ntyp = 4
/
ATOMIC_SPECIES
Cs 132.91 Cs.upf
Np 237.00 Np.upf
Cu 63.55 Cu.upf
Se 78.96 Se.upf
CELL_PARAMETERS angstrom
4.199 0.000 0.000
0.000 8.444 0.567
-2.100 -2.833 7.049
ATOMIC_POSITIONS crystal
Cs 0.139 0.566 0.278
Cs 0.861 0.434 0.722
Np 0.000 0.000 0.000
Cu 0.677 0.983 0.354
Cu 0.323 0.017 0.646
Se 0.195 0.152 0.390
Se 0.805 0.848 0.610
Se 0.520 0.781 0.040
Se 0.480 0.219 0.960
```

Properties
**Total magnetization**: 2.994 μB/cell
**D(E_F)**: 0.83 states/eV per atom
**Raw formation energy**: -0.920 eV per atom
**Calculated total energy**: -5.01 eV/atom
**Space group**: C2/m, No. 12

No. 7
DFT (PBE-GGA) results for an optimized crystal structure of Nd3Ni. Values from VASP.

Geometry as Quantum ESPRESSO input:
```
&SYSTEM
  ibrav = 0, nat = 16, ntyp = 2
/
ATOMIC_SPECIES
Nd 144.24 Nd.upf
Ni 58.69 Ni.upf
CELL_PARAMETERS angstrom
-2.905 0.875 5.766
1.253 -6.757 1.657
8.786 2.618 4.030
ATOMIC_POSITIONS crystal
Nd 0.326 0.676 0.067
Nd 0.174 0.176 0.433
Nd 0.674 0.324 0.567
Nd 0.826 0.824 0.933
Nd 0.674 0.324 0.933
Nd 0.826 0.824 0.567
Nd 0.326 0.676 0.433
Nd 0.174 0.176 0.067
Nd 0.854 0.534 0.250
Nd 0.646 0.034 0.250
Nd 0.146 0.466 0.750
Nd 0.354 0.966 0.750
Ni 0.068 0.886 0.250
Ni 0.432 0.386 0.250
Ni 0.932 0.114 0.750
Ni 0.568 0.614 0.750
```

Properties
**Total magnetization**: 0.000 μB/cell
**D(E_F)**: 1.06 states/eV per atom
**Calculated total energy**: -5.19 eV/atom
**E_form**: -0.68 eV per formula unit
**Space group**: Pnma, No. 62

No. 8
DFT (PBE-GGA) results for an optimized crystal structure of AcNdScTe3. Values from VASP.

Geometry as Quantum ESPRESSO input:
```
&SYSTEM
  ibrav = 0, nat = 12, ntyp = 4
/
ATOMIC_SPECIES
Ac 227.00 Ac.upf
Nd 144.24 Nd.upf
Sc 44.96 Sc.upf
Te 127.60 Te.upf
CELL_PARAMETERS angstrom
-0.463 -4.144 1.548
8.903 -1.767 -2.068
-0.004 3.530 9.449
ATOMIC_POSITIONS crystal
Ac 0.250 0.183 0.231
Ac 0.750 0.817 0.769
Nd 0.250 0.659 0.148
Nd 0.750 0.341 0.852
Sc 0.250 0.092 0.597
Sc 0.750 0.908 0.403
Te 0.750 0.900 0.117
Te 0.250 0.100 0.883
Te 0.250 0.759 0.496
Te 0.750 0.241 0.504
Te 0.750 0.432 0.183
Te 0.250 0.568 0.817
```

Properties
**Total magnetization**: 1.397 μB/cell
**D(E_F)**: 0.63 states/eV per atom
**Raw formation energy**: -1.285 eV per atom
**Calculated total energy**: -5.39 eV/atom
**Space group**: P2_1/m, No. 11

No. 9
DFT (PBE-GGA) results for an optimized crystal structure of Er2GaNi6. Values from VASP.

Geometry as Quantum ESPRESSO input:
```
&SYSTEM
  ibrav = 0, nat = 9, ntyp = 3
/
ATOMIC_SPECIES
Er 167.26 Er.upf
Ga 69.72 Ga.upf
Ni 58.69 Ni.upf
CELL_PARAMETERS angstrom
5.748 0.000 0.000
2.874 4.978 0.000
2.874 1.659 4.693
ATOMIC_POSITIONS crystal
Er 0.250 0.250 0.250
Er 0.750 0.750 0.750
Ga 0.000 0.000 0.000
Ni 0.286 0.714 0.714
Ni 0.286 0.714 0.286
Ni 0.714 0.286 0.714
Ni 0.714 0.286 0.286
Ni 0.714 0.714 0.286
Ni 0.286 0.286 0.714
```

Properties
**Total magnetization**: 0.000 μB/cell
**D(E_F)**: 0.72 states/eV per atom
**Calculated total energy**: -5.59 eV/atom
**E_form**: -3.45 eV per formula unit
**Space group**: Fm-3m, No. 225

No. 10
DFT (PBE-GGA) results for an optimized crystal structure of Sc2TiCo. Values from VASP.

Geometry as Quantum ESPRESSO input:
```
&SYSTEM
  ibrav = 0, nat = 4, ntyp = 3
/
ATOMIC_SPECIES
Sc 44.96 Sc.upf
Ti 47.87 Ti.upf
Co 58.93 Co.upf
CELL_PARAMETERS angstrom
-0.694 3.309 -2.820
-2.469 1.709 -0.827
1.625 4.984 5.449
ATOMIC_POSITIONS crystal
Sc 0.878 0.999 0.558
Sc 0.378 0.000 0.219
Ti 0.378 0.999 0.831
Co 0.878 0.999 0.003
```

Properties
**Total magnetization**: 0.412 μB/cell
**D(E_F)**: 1.71 states/eV per atom
**Calculated total energy**: -7.04 eV/atom
**E_form**: -0.48 eV per formula unit
**Space group**: P4mm, No. 99

No. 11
DFT (PBE-GGA) results for an optimized crystal structure of CeNiIr. Values from VASP.

Geometry as Quantum ESPRESSO input:
```
&SYSTEM
  ibrav = 0, nat = 6, ntyp = 3
/
ATOMIC_SPECIES
Ce 140.12 Ce.upf
Ni 58.69 Ni.upf
Ir 192.22 Ir.upf
CELL_PARAMETERS angstrom
5.042 0.000 0.000
2.521 4.593 0.028
2.521 1.330 4.396
ATOMIC_POSITIONS crystal
Ce 0.874 0.376 0.376
Ce 0.126 0.624 0.624
Ni 0.000 0.000 0.000
Ni 0.500 0.000 0.000
Ir 0.500 0.500 0.000
Ir 0.500 0.000 0.500
```

Properties
**Total magnetization**: 0.001 μB/cell
**D(E_F)**: 1.23 states/eV per atom
**Calculated total energy**: -7.50 eV/atom
**E_form**: -1.93 eV per formula unit
**Space group**: Imma, No. 74